Record 1
Nd2Ho2Cd: optimized geometry, PBE-GGA.

```
Nd2Ho2Cd
1.0
4.262 -4.691 0.000
4.262 4.691 0.000
-3.748 0.000 7.702
Nd Ho Cd
4 4 2
Direct
0.164 0.164 0.431
0.284 0.284 0.882
0.716 0.716 0.118
0.836 0.836 0.569
0.241 0.610 0.279
0.390 0.759 0.721
0.610 0.241 0.279
0.759 0.390 0.721
0.159 0.841 0.000
0.841 0.159 0.000
```

Summary:
* total moment: 0.00 μB/f.u.
* space-group type: C2/m (12)
* energy of formation: -3.6 kJ per mole of atoms


Record 2
Nd5Ho4Cd2: optimized geometry, PBE-GGA.

```
Nd5Ho4Cd2
1.0
8.885 0.000 0.000
0.000 3.581 0.000
-0.927 0.000 10.927
Nd Ho Cd
5 4 2
Direct
0.000 0.000 0.000
0.043 0.000 0.327
0.315 0.000 0.849
0.685 0.000 0.151
0.957 0.000 0.673
0.272 0.500 0.560
0.330 0.500 0.134
0.670 0.500 0.866
0.728 0.500 0.440
0.429 0.000 0.365
0.571 0.000 0.635
```

Summary:
* total moment: 0.00 μB/f.u.
* space-group type: P2/m (10)
* energy of formation: -0.3 kJ per mole of atoms


Record 3
NdHoCd5: optimized geometry, PBE-GGA.

```
NdHoCd5
1.0
5.211 0.000 0.000
0.000 5.211 0.000
0.000 0.000 6.876
Nd Ho Cd
1 1 5
Direct
0.000 0.000 0.000
0.500 0.500 0.500
0.000 0.500 0.273
0.000 0.500 0.727
0.500 0.000 0.273
0.500 0.000 0.727
0.500 0.500 0.000
```

Summary:
* total moment: 0.00 μB/f.u.
* space-group type: P4/mmm (123)
* energy of formation: -11.5 kJ per mole of atoms


Record 4
NdHoCd6: optimized geometry, PBE-GGA.

```
NdHoCd6
1.0
4.916 0.000 0.000
0.000 7.193 0.000
0.000 0.000 11.050
Nd Ho Cd
2 2 12
Direct
0.000 0.000 0.000
0.000 0.500 0.500
0.500 0.000 0.724
0.500 0.500 0.224
0.000 0.000 0.538
0.000 0.218 0.268
0.000 0.282 0.768
0.000 0.500 0.038
0.000 0.718 0.768
0.000 0.782 0.268
0.500 0.000 0.193
0.500 0.214 0.455
0.500 0.286 0.955
0.500 0.500 0.693
0.500 0.714 0.955
0.500 0.786 0.455
```

Summary:
* total moment: 0.00 μB/f.u.
* space-group type: Amm2 (38)
* energy of formation: -27.6 kJ per mole of atoms


Record 5
Nd5Ho3Cd: optimized geometry, PBE-GGA.

```
Nd5Ho3Cd
1.0
7.367 -5.881 0.000
7.367 5.881 0.000
-4.979 0.000 7.799
Nd Ho Cd
10 6 2
Direct
0.051 0.051 0.348
0.098 0.567 0.305
0.243 0.757 0.000
0.314 0.314 0.568
0.433 0.902 0.695
0.567 0.098 0.305
0.686 0.686 0.432
0.757 0.243 0.000
0.902 0.433 0.695
0.949 0.949 0.652
0.145 0.145 0.088
0.203 0.203 0.783
0.500 0.500 0.000
0.500 0.500 0.500
0.797 0.797 0.217
0.855 0.855 0.912
0.370 0.370 0.143
0.630 0.630 0.857
```

Summary:
* total moment: 0.00 μB/f.u.
* space-group type: C2/m (12)
* energy of formation: 43.5 kJ per mole of atoms


Record 6
NdHo2Cd3: optimized geometry, PBE-GGA.

```
NdHo2Cd3
1.0
2.647 -7.960 0.000
2.647 7.960 0.000
0.000 0.000 7.646
Nd Ho Cd
2 4 6
Direct
0.165 0.835 0.000
0.835 0.165 0.000
0.169 0.831 0.500
0.500 0.500 0.000
0.500 0.500 0.500
0.831 0.169 0.500
0.000 0.000 0.262
0.000 0.000 0.738
0.336 0.664 0.262
0.336 0.664 0.738
0.664 0.336 0.262
0.664 0.336 0.738
```

Summary:
* total moment: 0.63 μB/f.u.
* space-group type: Cmmm (65)
* energy of formation: -30.1 kJ per mole of atoms


Record 7
NdHo8Cd6: optimized geometry, PBE-GGA.

```
NdHo8Cd6
1.0
4.495 2.595 6.347
-4.495 2.595 6.347
0.000 -5.190 6.347
Nd Ho Cd
1 8 6
Direct
0.000 0.000 0.000
0.118 0.446 0.785
0.215 0.882 0.554
0.332 0.332 0.332
0.446 0.785 0.118
0.554 0.215 0.882
0.668 0.668 0.668
0.785 0.118 0.446
0.882 0.554 0.215
0.053 0.713 0.392
0.287 0.608 0.947
0.392 0.053 0.713
0.608 0.947 0.287
0.713 0.392 0.053
0.947 0.287 0.608
```

Summary:
* total moment: 1.08 μB/f.u.
* space-group type: R-3 (148)
* energy of formation: -5.8 kJ per mole of atoms


Record 8
Nd2Ho2Cd: optimized geometry, PBE-GGA.

```
Nd2Ho2Cd
1.0
3.624 0.000 0.000
0.000 3.624 0.000
0.000 0.000 23.396
Nd Ho Cd
4 4 2
Direct
0.000 0.000 0.193
0.000 0.000 0.807
0.500 0.500 0.307
0.500 0.500 0.693
0.000 0.000 0.415
0.000 0.000 0.585
0.500 0.500 0.085
0.500 0.500 0.915
0.000 0.000 0.000
0.500 0.500 0.500
```

Summary:
* total moment: 0.12 μB/f.u.
* space-group type: I4/mmm (139)
* energy of formation: -10.8 kJ per mole of atoms


Record 9
Nd3Ho2Cd: optimized geometry, PBE-GGA.

```
Nd3Ho2Cd
1.0
8.745 -1.765 0.000
8.745 1.765 0.000
-3.301 0.000 12.508
Nd Ho Cd
6 4 2
Direct
0.067 0.067 0.224
0.253 0.253 0.622
0.413 0.413 0.021
0.587 0.587 0.979
0.747 0.747 0.378
0.933 0.933 0.776
0.226 0.226 0.876
0.414 0.414 0.528
0.586 0.586 0.472
0.774 0.774 0.124
0.412 0.412 0.284
0.588 0.588 0.716
```

Summary:
* total moment: 0.00 μB/f.u.
* space-group type: C2/m (12)
* energy of formation: 3.5 kJ per mole of atoms


Record 10
NdHo5Cd3: optimized geometry, PBE-GGA.

```
NdHo5Cd3
1.0
9.183 0.000 0.000
-4.591 7.953 0.000
0.000 0.000 6.948
Nd Ho Cd
2 10 6
Direct
0.000 0.000 0.000
0.000 0.000 0.500
0.000 0.333 0.250
0.000 0.667 0.750
0.333 0.000 0.250
0.333 0.333 0.750
0.333 0.667 0.000
0.333 0.667 0.500
0.667 0.000 0.750
0.667 0.333 0.000
0.667 0.333 0.500
0.667 0.667 0.250
0.000 0.338 0.750
0.000 0.662 0.250
0.338 0.000 0.750
0.338 0.338 0.250
0.662 0.000 0.250
0.662 0.662 0.750
```

Summary:
* total moment: 0.00 μB/f.u.
* space-group type: P6_3/mcm (193)
* energy of formation: -16.8 kJ per mole of atoms


Record 11
Nd5Ho2Cd: optimized geometry, PBE-GGA.

```
Nd5Ho2Cd
1.0
12.261 0.000 0.000
0.000 7.183 0.000
-4.207 0.000 5.822
Nd Ho Cd
10 4 2
Direct
0.000 0.000 0.000
0.249 0.250 0.999
0.249 0.750 0.999
0.250 0.250 0.500
0.250 0.750 0.500
0.500 0.500 0.000
0.749 0.250 0.999
0.749 0.750 0.999
0.750 0.250 0.500
0.750 0.750 0.500
0.000 0.000 0.499
0.000 0.500 0.000
0.500 0.000 0.000
0.500 0.500 0.499
0.499 0.000 0.499
0.999 0.500 0.499
```

Summary:
* total moment: 0.00 μB/f.u.
* space-group type: Cm (8)
* energy of formation: -2.8 kJ per mole of atoms


Record 12
Nd9HoCd2: optimized geometry, PBE-GGA.

```
Nd9HoCd2
1.0
5.023 0.000 0.000
0.000 5.023 0.000
0.000 0.000 15.261
Nd Ho Cd
9 1 2
Direct
0.000 0.000 0.000
0.000 0.000 0.336
0.000 0.000 0.664
0.000 0.500 0.172
0.000 0.500 0.500
0.000 0.500 0.828
0.500 0.000 0.172
0.500 0.000 0.500
0.500 0.000 0.828
0.500 0.500 0.000
0.500 0.500 0.340
0.500 0.500 0.660
```

Summary:
* total moment: 0.00 μB/f.u.
* space-group type: P4/mmm (123)
* energy of formation: -6.1 kJ per mole of atoms


Record 13
NdHo5Cd2: optimized geometry, PBE-GGA.

```
NdHo5Cd2
1.0
3.594 0.000 0.000
0.000 10.402 0.000
0.000 0.000 12.642
Nd Ho Cd
2 10 4
Direct
0.000 0.000 0.000
0.500 0.500 0.500
0.000 0.225 0.365
0.000 0.225 0.635
0.000 0.500 0.000
0.000 0.775 0.365
0.000 0.775 0.635
0.500 0.000 0.500
0.500 0.275 0.135
0.500 0.275 0.865
0.500 0.725 0.135
0.500 0.725 0.865
0.000 0.500 0.259
0.000 0.500 0.741
0.500 0.000 0.241
0.500 0.000 0.759
```

Summary:
* total moment: 0.00 μB/f.u.
* space-group type: Immm (71)
* energy of formation: -7.8 kJ per mole of atoms


Record 14
Nd6Ho3Cd: optimized geometry, PBE-GGA.

```
Nd6Ho3Cd
1.0
11.174 0.000 0.000
0.000 5.119 0.000
-0.338 0.000 11.401
Nd Ho Cd
12 6 2
Direct
0.047 0.250 0.394
0.142 0.750 0.187
0.153 0.250 0.691
0.240 0.250 0.995
0.347 0.750 0.799
0.450 0.250 0.602
0.550 0.750 0.398
0.653 0.250 0.201
0.760 0.750 0.005
0.847 0.750 0.309
0.858 0.250 0.813
0.953 0.750 0.606
0.248 0.750 0.492
0.349 0.250 0.294
0.450 0.750 0.099
0.550 0.250 0.901
0.651 0.750 0.706
0.752 0.250 0.508
0.050 0.750 0.897
0.950 0.250 0.103
```

Summary:
* total moment: 0.00 μB/f.u.
* space-group type: P2_1/m (11)
* energy of formation: -2.0 kJ per mole of atoms


Record 15
Nd5Ho2Cd4: optimized geometry, PBE-GGA.

```
Nd5Ho2Cd4
1.0
11.529 -1.776 0.000
11.529 1.776 0.000
-1.686 0.000 8.163
Nd Ho Cd
5 2 4
Direct
0.000 0.000 0.000
0.326 0.326 0.546
0.375 0.375 0.013
0.625 0.625 0.987
0.674 0.674 0.454
0.228 0.228 0.819
0.772 0.772 0.181
0.082 0.082 0.649
0.471 0.471 0.661
0.529 0.529 0.339
0.918 0.918 0.351
```

Summary:
* total moment: 0.00 μB/f.u.
* space-group type: C2/m (12)
* energy of formation: -1.2 kJ per mole of atoms


Record 16
NdHo4Cd2: optimized geometry, PBE-GGA.

```
NdHo4Cd2
1.0
2.533 1.462 10.386
-2.533 1.462 10.386
0.000 -2.925 10.386
Nd Ho Cd
1 4 2
Direct
0.000 0.000 0.000
0.202 0.202 0.202
0.395 0.395 0.395
0.605 0.605 0.605
0.798 0.798 0.798
0.101 0.101 0.101
0.899 0.899 0.899
```

Summary:
* total moment: 0.42 μB/f.u.
* space-group type: R-3m (166)
* energy of formation: 20.4 kJ per mole of atoms


Record 17
Nd5Ho12Cd2: optimized geometry, PBE-GGA.

```
Nd5Ho12Cd2
1.0
7.742 -4.638 0.000
7.742 4.638 0.000
-0.318 0.000 8.338
Nd Ho Cd
5 12 2
Direct
0.000 0.000 0.000
0.235 0.235 0.076
0.297 0.297 0.484
0.703 0.703 0.516
0.765 0.765 0.924
0.038 0.674 0.263
0.076 0.076 0.380
0.181 0.565 0.827
0.326 0.962 0.737
0.435 0.819 0.173
0.445 0.445 0.174
0.555 0.555 0.826
0.565 0.181 0.827
0.674 0.038 0.263
0.819 0.435 0.173
0.924 0.924 0.620
0.962 0.326 0.737
0.327 0.673 0.500
0.673 0.327 0.500
```

Summary:
* total moment: 0.00 μB/f.u.
* space-group type: C2/m (12)
* energy of formation: 4.0 kJ per mole of atoms


Record 18
Nd2Ho7Cd2: optimized geometry, PBE-GGA.

```
Nd2Ho7Cd2
1.0
4.831 -5.779 0.000
4.831 5.779 0.000
-2.685 0.000 6.008
Nd Ho Cd
2 7 2
Direct
0.141 0.859 0.000
0.859 0.141 0.000
0.000 0.000 0.500
0.066 0.576 0.304
0.343 0.343 0.040
0.424 0.934 0.696
0.576 0.066 0.304
0.657 0.657 0.960
0.934 0.424 0.696
0.336 0.336 0.528
0.664 0.664 0.472
```

Summary:
* total moment: 0.00 μB/f.u.
* space-group type: C2/m (12)
* energy of formation: 8.9 kJ per mole of atoms


Record 19
Nd2Ho3Cd2: optimized geometry, PBE-GGA.

```
Nd2Ho3Cd2
1.0
3.576 0.000 0.000
0.000 33.038 0.000
0.000 0.000 3.530
Nd Ho Cd
4 6 4
Direct
0.000 0.202 0.000
0.000 0.798 0.000
0.500 0.298 0.000
0.500 0.702 0.000
0.000 0.074 0.000
0.000 0.500 0.500
0.000 0.926 0.000
0.500 0.000 0.500
0.500 0.426 0.000
0.500 0.574 0.000
0.000 0.365 0.500
0.000 0.635 0.500
0.500 0.135 0.500
0.500 0.865 0.500
```

Summary:
* total moment: 0.00 μB/f.u.
* space-group type: Cmmm (65)
* energy of formation: -10.7 kJ per mole of atoms


Record 20
NdHo2Cd6: optimized geometry, PBE-GGA.

```
NdHo2Cd6
1.0
8.675 0.000 0.000
-4.337 7.513 0.000
0.000 0.000 3.429
Nd Ho Cd
1 2 6
Direct
0.000 0.000 0.000
0.333 0.667 0.000
0.667 0.333 0.000
0.000 0.336 0.500
0.000 0.664 0.500
0.336 0.000 0.500
0.336 0.336 0.500
0.664 0.000 0.500
0.664 0.664 0.500
```

Summary:
* total moment: 0.14 μB/f.u.
* space-group type: P6/mmm (191)
* energy of formation: -30.6 kJ per mole of atoms


Record 21
Nd12Ho3Cd: optimized geometry, PBE-GGA.

```
Nd12Ho3Cd
1.0
5.096 0.000 0.000
0.000 5.096 0.000
0.000 0.000 20.586
Nd Ho Cd
12 3 1
Direct
0.000 0.000 0.000
0.000 0.000 0.246
0.000 0.000 0.500
0.000 0.000 0.754
0.000 0.500 0.122
0.000 0.500 0.374
0.000 0.500 0.626
0.000 0.500 0.878
0.500 0.000 0.122
0.500 0.000 0.374
0.500 0.000 0.626
0.500 0.000 0.878
0.500 0.500 0.248
0.500 0.500 0.500
0.500 0.500 0.752
0.500 0.500 0.000
```

Summary:
* total moment: 0.00 μB/f.u.
* space-group type: P4/mmm (123)
* energy of formation: -1.2 kJ per mole of atoms